{
  "formula": "LiMnCrP2",
  "functional": "GGA-PBE",
  "state": "relaxed",
  "lattice_angstrom": [[4.101, 0.000, 0.000], [0.000, 4.101, 0.000], [0.000, 0.000, 3.700]],
  "species": ["Li", "Mn", "Cr", "P", "P"],
  "fractional_positions": [[0.000, 0.000, 0.000], [0.500, 0.500, 0.500], [0.000, 0.000, 0.500], [0.000, 0.500, 0.000], [0.500, 0.000, 0.000]],
  "magnetic_moment_mub_per_cell": 0.04,
  "sg": "P4/mmm, No. 123",
  "vol_a3_per_fu": 62.2,
  "formation_enthalpy_0k_mev_per_atom": 1182.8,
  "n_ef_per_ev_cell": 7.80,
  "total_energy_ev_per_atom": -5.12
}